# HgBSeN2 | the Alexandria database | PBE-GGA | relaxed
data_HgBSeN2
_cell_length_a 4.1407
_cell_length_b 4.1407
_cell_length_c 6.1444
_cell_angle_alpha 90.00
_cell_angle_beta 90.00
_cell_angle_gamma 90.00
_space_group_name_H-M_alt 'P 1'
_space_group_IT_number 1
_space_group_name_Hall 'P 1'
loop_
_atom_site_label
_atom_site_fract_x
_atom_site_fract_y
_atom_site_fract_z
Hg1 0.0000 0.0000 0.0000
B1 0.5000 0.5000 0.5000
Se1 0.0000 0.0000 0.5000
N1 0.0000 0.5000 0.0000
N2 0.5000 0.0000 0.0000
# Formation energy (no corrections) ... 2675 meV/atom
# Relative energy among the computed polymorphs ... 6.02 eV/f.u.
# Space-group type ... P4/mmm
# Uncorrected energy ... -2.748 eV/atom